## Rb2ZnP2 (PBE-GGA)

Data for a relaxed Rb2ZnP2 crystal.

CIF file:
```
data_Rb2ZnP2
_chemical_formula_sum 'Rb4 Zn2 P4'
_cell_length_a 8.594
_cell_length_b 8.594
_cell_length_c 4.626
_cell_angle_alpha 90.00
_cell_angle_beta 90.00
_cell_angle_gamma 90.00
_symmetry_space_group_name_H-M 'P 1'
_symmetry_Int_Tables_number 1
loop_
_symmetry_equiv_pos_as_xyz
'x,y,z'
loop_
_atom_site_label
_atom_site_type_symbol
_atom_site_fract_x
_atom_site_fract_y
_atom_site_fract_z
_atom_site_occupancy
P1 P 0.915 0.585 0.000 1
P2 P 0.415 0.915 0.000 1
P3 P 0.585 0.085 0.000 1
P4 P 0.085 0.415 0.000 1
Rb1 Rb 0.200 0.700 0.500 1
Rb2 Rb 0.700 0.800 0.500 1
Rb3 Rb 0.800 0.300 0.500 1
Rb4 Rb 0.300 0.200 0.500 1
Zn1 Zn 0.000 0.000 0.000 1
Zn2 Zn 0.500 0.500 0.000 1
```

Calculated values
The value obtained for the energy of formation is -0.05 eV per atom.